# KSb2HI (PBEsol, optimized geometry)
# Calculated density = 1.90 g/cm3
# Energy above the lowest structure with this stoichiometry = 1302 meV per atom
data_KSb2HI
_symmetry_space_group_name_H-M 'P 4/m m m'
_symmetry_Int_Tables_number 123
_symmetry_space_group_name_Hall '-P 4 2'
_cell_length_a 7.490
_cell_length_b 7.490
_cell_length_c 6.393
_cell_angle_alpha 90.00
_cell_angle_beta 90.00
_cell_angle_gamma 90.00
loop_
_atom_site_label
_atom_site_type_symbol
_atom_site_fract_x
_atom_site_fract_y
_atom_site_fract_z
K1 K 0.000 0.000 0.000
Sb1 Sb 0.000 0.500 0.000
H1 H 0.500 0.500 0.500
I1 I 0.000 0.000 0.500

=====

# KSb2HI (PBEsol, optimized geometry)
# Calculated density = 4.90 g/cm3
# Energy above the lowest structure with this stoichiometry = 0 meV per atom
data_KSb2HI
_symmetry_space_group_name_H-M 'P 4/m m m'
_symmetry_Int_Tables_number 123
_symmetry_space_group_name_Hall '-P 4 2'
_cell_length_a 4.482
_cell_length_b 4.482
_cell_length_c 6.930
_cell_angle_alpha 90.00
_cell_angle_beta 90.00
_cell_angle_gamma 90.00
loop_
_atom_site_label
_atom_site_type_symbol
_atom_site_fract_x
_atom_site_fract_y
_atom_site_fract_z
K1 K 0.000 0.000 0.000
Sb1 Sb 0.000 0.500 0.500
H1 H 0.500 0.500 0.500
I1 I 0.500 0.500 0.000

=====

# LaH2I2 (PBEsol, optimized geometry)
# Calculated density = 6.49 g/cm3
# Final energy = -0.2571 Ry per atom
data_LaH2I2
_symmetry_space_group_name_H-M 'P 4/m b m'
_symmetry_Int_Tables_number 127
_symmetry_space_group_name_Hall '-P 4 2ab'
_cell_length_a 6.813
_cell_length_b 6.813
_cell_length_c 4.349
_cell_angle_alpha 90.00
_cell_angle_beta 90.00
_cell_angle_gamma 90.00
loop_
_atom_site_label
_atom_site_type_symbol
_atom_site_fract_x
_atom_site_fract_y
_atom_site_fract_z
La1 La 0.000 0.000 0.000
H1 H 0.170 0.330 0.000
I1 I 0.170 0.670 0.500

=====

# LaH3I (PBEsol, optimized geometry)
# Calculated density = 5.89 g/cm3
# Final energy = -0.2079 Ry per atom
data_LaH3I
_symmetry_space_group_name_H-M 'P m -3 m'
_symmetry_Int_Tables_number 221
_symmetry_space_group_name_Hall '-P 4 2 3'
_cell_length_a 4.231
_cell_length_b 4.231
_cell_length_c 4.231
_cell_angle_alpha 90.00
_cell_angle_beta 90.00
_cell_angle_gamma 90.00
loop_
_atom_site_label
_atom_site_type_symbol
_atom_site_fract_x
_atom_site_fract_y
_atom_site_fract_z
La1 La 0.000 0.000 0.000
H1 H 0.000 0.500 0.500
I1 I 0.500 0.500 0.500

=====

# LaVH2I4O15 (PBEsol, optimized geometry)
# Calculated density = 4.99 g/cm3
# Final energy = -0.4251 Ry per atom
data_LaVH2I4O15
_symmetry_space_group_name_H-M 'P 1 21 1'
_symmetry_Int_Tables_number 4
_cell_length_a 6.932
_cell_length_b 14.090
_cell_length_c 7.061
_cell_angle_alpha 90.00
_cell_angle_beta 115.07
_cell_angle_gamma 90.00
loop_
_symmetry_equiv_pos_as_xyz
'x,y,z'
'-x,y+1/2,-z'
loop_
_atom_site_label
_atom_site_type_symbol
_atom_site_fract_x
_atom_site_fract_y
_atom_site_fract_z
La1 La 0.066 0.000 0.444
V1 V 0.428 0.330 0.212
H1 H 0.091 0.698 0.281
H2 H 0.322 0.722 0.423
I1 I 0.139 0.866 0.981
I2 I 0.265 0.553 0.137
I3 I 0.266 0.249 0.705
I4 I 0.449 0.096 0.241
O1 O 0.052 0.597 0.900
O2 O 0.068 0.154 0.607
O3 O 0.068 0.965 0.796
O4 O 0.077 0.344 0.604
O5 O 0.227 0.715 0.269
O6 O 0.241 0.939 0.218
O7 O 0.243 0.429 0.021
O8 O 0.252 0.246 0.962
O9 O 0.273 0.307 0.331
O10 O 0.311 0.527 0.635
O11 O 0.375 0.100 0.462
O12 O 0.391 0.907 0.637
O13 O 0.402 0.833 0.000
O14 O 0.406 0.714 0.687
O15 O 0.493 0.597 0.095

=====

# LaHPdI2 (PBEsol, optimized geometry)
# Calculated density = 7.47 g/cm3
# Final energy = -0.2999 Ry per atom
data_LaHPdI2
_symmetry_space_group_name_H-M 'P 4/m m m'
_symmetry_Int_Tables_number 123
_symmetry_space_group_name_Hall '-P 4 2'
_cell_length_a 5.230
_cell_length_b 5.230
_cell_length_c 4.065
_cell_angle_alpha 90.00
_cell_angle_beta 90.00
_cell_angle_gamma 90.00
loop_
_atom_site_label
_atom_site_type_symbol
_atom_site_fract_x
_atom_site_fract_y
_atom_site_fract_z
La1 La 0.000 0.000 0.000
H1 H 0.000 0.000 0.500
Pd1 Pd 0.500 0.500 0.000
I1 I 0.000 0.500 0.500

=====

# LaHS2I (PBEsol, optimized geometry)
# Calculated density = 2.84 g/cm3
# Final energy = -0.2802 Ry per atom
data_LaHS2I
_symmetry_space_group_name_H-M 'P 4/m m m'
_symmetry_Int_Tables_number 123
_symmetry_space_group_name_Hall '-P 4 2'
_cell_length_a 5.555
_cell_length_b 5.555
_cell_length_c 6.282
_cell_angle_alpha 90.00
_cell_angle_beta 90.00
_cell_angle_gamma 90.00
loop_
_atom_site_label
_atom_site_type_symbol
_atom_site_fract_x
_atom_site_fract_y
_atom_site_fract_z
La1 La 0.000 0.000 0.000
H1 H 0.500 0.500 0.500
S1 S 0.000 0.500 0.000
I1 I 0.000 0.000 0.500

=====

# Li3HI (PBEsol, optimized geometry)
# Calculated density = 2.82 g/cm3
# Final energy = -0.1904 Ry per atom
data_Li3HI
_symmetry_space_group_name_H-M 'P m -3 m'
_symmetry_Int_Tables_number 221
_symmetry_space_group_name_Hall '-P 4 2 3'
_cell_length_a 4.443
_cell_length_b 4.443
_cell_length_c 4.443
_cell_angle_alpha 90.00
_cell_angle_beta 90.00
_cell_angle_gamma 90.00
loop_
_atom_site_label
_atom_site_type_symbol
_atom_site_fract_x
_atom_site_fract_y
_atom_site_fract_z
Li1 Li 0.000 0.000 0.500
H1 H 0.000 0.000 0.000
I1 I 0.500 0.500 0.500

=====

Question: Which of these has the lowest calculated density?
Answer: number 1

=====

Question: Look up the calculated density of the fourth one.
Answer: 5.89 g/cm3

=====

Please write out number 8 again, unchanged.
# Li3HI (PBEsol, optimized geometry)
# Calculated density = 2.82 g/cm3
# Final energy = -0.1904 Ry per atom
data_Li3HI
_symmetry_space_group_name_H-M 'P m -3 m'
_symmetry_Int_Tables_number 221
_symmetry_space_group_name_Hall '-P 4 2 3'
_cell_length_a 4.443
_cell_length_b 4.443
_cell_length_c 4.443
_cell_angle_alpha 90.00
_cell_angle_beta 90.00
_cell_angle_gamma 90.00
loop_
_atom_site_label
_atom_site_type_symbol
_atom_site_fract_x
_atom_site_fract_y
_atom_site_fract_z
Li1 Li 0.000 0.000 0.500
H1 H 0.000 0.000 0.000
I1 I 0.500 0.500 0.500